VOF2: optimized geometry, PBE+U.

Cell and atoms, written as POSCAR:
```
VOF2
1.0
5.267 -0.006 0.015
2.596 4.616 0.008
2.521 1.398 8.886
F O V
8 4 4
Direct
0.422 0.322 0.375
0.783 0.382 0.879
0.287 0.878 0.389
0.220 0.621 0.122
0.365 0.966 0.861
0.695 0.115 0.607
0.132 0.537 0.621
0.639 0.035 0.141
0.927 0.816 0.868
0.852 0.456 0.377
0.562 0.664 0.628
0.081 0.188 0.129
0.772 0.749 0.756
0.001 0.001 0.001
0.227 0.257 0.246
0.534 0.514 0.500
```

Output
electronic total energy: -6.485 eV/atom
magnetization: 4.0 Bohr magnetons per cell